i | Below is ZrIrRu after structural relaxation, with properties calculated at the PBE level.

Cell: 6.155 6.155 6.155 Å, 90.00 90.00 90.00°
Element x y z (fractional)
Zr (0.000, 0.000, 0.000)
Zr (0.000, 0.500, 0.500)
Zr (0.500, 0.000, 0.500)
Zr (0.500, 0.500, 0.000)
Ir (0.250, 0.250, 0.750)
Ir (0.250, 0.750, 0.250)
Ir (0.750, 0.250, 0.250)
Ir (0.750, 0.750, 0.750)
Ru (0.250, 0.250, 0.250)
Ru (0.250, 0.750, 0.750)
Ru (0.750, 0.250, 0.750)
Ru (0.750, 0.750, 0.250)

Values from the calculation:
* crystal system: cubic

=====

ii | Below is ZrIrRu after structural relaxation, with properties calculated at the PBE level.

Cell: 3.308 3.308 9.265 Å, 90.00 90.00 90.00°
Element x y z (fractional)
Zr (0.000, 0.000, 0.000)
Zr (0.500, 0.500, 0.500)
Ir (0.000, 0.000, 0.660)
Ir (0.500, 0.500, 0.160)
Ru (0.000, 0.000, 0.342)
Ru (0.500, 0.500, 0.842)

Values from the calculation:
* crystal system: tetragonal

=====

The data favor ii; the next most stable structure lies 409 meV/atom above it.

=====

i | Below is ZrIr2Ru2 after structural relaxation, with properties calculated at the PBE level.

Cell: 7.551 7.551 2.806 Å, 90.00 90.00 90.00°
Element x y z (fractional)
Zr (0.000, 0.000, 0.000)
Zr (0.500, 0.500, 0.000)
Ir (0.123, 0.377, 0.000)
Ir (0.377, 0.877, 0.000)
Ir (0.623, 0.123, 0.000)
Ir (0.877, 0.623, 0.000)
Ru (0.174, 0.674, 0.500)
Ru (0.326, 0.174, 0.500)
Ru (0.674, 0.826, 0.500)
Ru (0.826, 0.326, 0.500)

Values from the calculation:
* crystal system: tetragonal

=====

ii | Below is ZrIr2Ru2 after structural relaxation, with properties calculated at the PBE level.

Cell: 7.556 7.556 2.790 Å, 90.00 90.00 90.00°
Element x y z (fractional)
Zr (0.000, 0.000, 0.000)
Zr (0.500, 0.500, 0.000)
Ir (0.176, 0.324, 0.500)
Ir (0.324, 0.824, 0.500)
Ir (0.676, 0.176, 0.500)
Ir (0.824, 0.676, 0.500)
Ru (0.121, 0.621, 0.000)
Ru (0.379, 0.121, 0.000)
Ru (0.621, 0.879, 0.000)
Ru (0.879, 0.379, 0.000)

Values from the calculation:
* crystal system: tetragonal

=====

The data favor ii; the next most stable structure lies 24 meV/atom above it.

=====

i | Below is ZrIrRu3 after structural relaxation, with properties calculated at the PBE level.

Cell: 4.667 4.667 4.667 Å, 90.00 90.00 90.00°
Element x y z (fractional)
Zr (0.000, 0.000, 0.000)
Ir (0.500, 0.500, 0.500)
Ru (0.000, 0.000, 0.500)
Ru (0.000, 0.500, 0.000)
Ru (0.500, 0.000, 0.000)

Values from the calculation:
* crystal system: cubic

=====

ii | Below is ZrIrRu3 after structural relaxation, with properties calculated at the PBE level.

Cell: 4.664 4.664 4.664 Å, 90.00 90.00 90.00°
Element x y z (fractional)
Zr (0.000, 0.000, 0.000)
Ir (0.500, 0.500, 0.500)
Ru (0.000, 0.500, 0.500)
Ru (0.500, 0.000, 0.500)
Ru (0.500, 0.500, 0.000)

Values from the calculation:
* crystal system: cubic

=====

The data favor ii; the next most stable structure lies 783 meV/atom above it.

=====

i | Below is Ir2S after structural relaxation, with properties calculated at the PBE level.

Cell: 7.224 2.878 4.348 Å, 90.00 103.44 90.00°
Element x y z (fractional)
Ir (0.175, 0.000, 0.210)
Ir (0.325, 0.500, 0.790)
Ir (0.675, 0.500, 0.210)
Ir (0.825, 0.000, 0.790)
S (0.000, 0.500, 0.500)
S (0.500, 0.000, 0.500)

Values from the calculation:
* crystal system: monoclinic

=====

ii | Below is Ir2S after structural relaxation, with properties calculated at the PBE level.

Cell: 2.933 2.933 18.249 Å, 90.00 90.00 120.00°
Element x y z (fractional)
Ir (0.000, 0.000, 0.000)
Ir (0.000, 0.000, 0.456)
Ir (0.333, 0.667, 0.122)
Ir (0.333, 0.667, 0.667)
Ir (0.667, 0.333, 0.333)
Ir (0.667, 0.333, 0.789)
S (0.000, 0.000, 0.878)
S (0.333, 0.667, 0.545)
S (0.667, 0.333, 0.212)

Values from the calculation:
* crystal system: trigonal

=====

The data favor ii; the next most stable structure lies 53 meV/atom above it.